{"formula": "LiVOF3", "functional": "PBE+U", "state": "optimized geometry", "lattice_angstrom": [[5.102, 0.000, 0.000], [-0.877, 5.089, 0.000], [-0.201, -1.838, 5.657]], "species": ["Li", "Li", "V", "V", "O", "O", "F", "F", "F", "F", "F", "F"], "frac_coords": [[0.000, 0.000, 0.000], [0.342, 0.843, 0.428], [0.291, 0.497, 0.828], [0.764, 0.440, 0.541], [0.124, 0.662, 0.653], [0.445, 0.258, 0.567], [0.193, 0.753, 0.114], [0.336, 0.268, 0.006], [0.654, 0.709, 0.860], [0.661, 0.688, 0.399], [0.865, 0.212, 0.270], [0.931, 0.241, 0.748]], "spacegroup": "No. 1", "dos_ef_per_ev_atom": 0.000, "polymorph_energy_ev_per_fu": 0.28}